{
  "formula": "Tm2MgRu",
  "functional": "PBE-GGA",
  "state": "relaxed",
  "lattice": [[-1.295, 2.063, 2.485], [-3.059, -0.761, 1.474], [2.939, -4.634, 7.813]],
  "species": ["Tm", "Tm", "Ru", "Mg"],
  "fractional_positions": [[0.266, 0.266, 0.203], [0.734, 0.734, 0.797], [0.000, 0.000, 0.000], [0.500, 0.500, 0.500]],
  "mass_density_g_cm3": 7.858,
  "e_above_lowest_polymorph_ev_per_atom": 0.251,
  "dos_ef_per_ev_cell": 5.146,
  "formation_energy_ev_per_atom": -0.10,
  "final_energy_ev_per_atom": -5.051
}

{
  "formula": "Ac2MgZn5",
  "functional": "PBE-GGA",
  "state": "relaxed",
  "lattice": [[4.637, 0.000, 0.000], [-2.319, 8.705, 0.000], [0.000, 0.000, 9.428]],
  "species": ["Ac", "Ac", "Ac", "Ac", "Zn", "Zn", "Zn", "Zn", "Zn", "Zn", "Zn", "Zn", "Zn", "Zn", "Mg", "Mg"],
  "fractional_positions": [[0.000, 0.000, 0.000], [0.209, 0.419, 0.250], [0.000, 0.000, 0.500], [0.791, 0.581, 0.750], [0.348, 0.696, 0.989], [0.348, 0.696, 0.511], [0.182, 0.364, 0.891], [0.818, 0.636, 0.109], [0.182, 0.364, 0.609], [0.652, 0.304, 0.011], [0.818, 0.636, 0.391], [0.652, 0.304, 0.489], [0.598, 0.196, 0.750], [0.402, 0.804, 0.250], [0.560, 0.120, 0.250], [0.440, 0.880, 0.750]],
  "mass_density_g_cm3": 7.028,
  "dos_ef_per_ev_cell": 12.626,
  "formation_energy_ev_per_atom": -0.22,
  "final_energy_ev_per_atom": -2.243
}

{
  "formula": "KRbSb4",
  "functional": "PBE-GGA",
  "state": "relaxed",
  "lattice": [[-4.667, 1.735, 6.823], [4.988, -8.022, 1.474], [4.781, 7.827, -2.697]],
  "species": ["Sb", "Sb", "Sb", "Sb", "Sb", "Sb", "Sb", "Sb", "K", "K", "Rb", "Rb"],
  "fractional_positions": [[0.743, 0.051, 0.728], [0.757, 0.772, 0.449], [0.693, 0.224, 0.494], [0.243, 0.228, 0.551], [0.307, 0.776, 0.506], [0.193, 0.994, 0.724], [0.807, 0.006, 0.276], [0.257, 0.949, 0.272], [0.250, 0.302, 0.198], [0.750, 0.698, 0.802], [0.750, 0.338, 0.162], [0.250, 0.662, 0.838]],
  "mass_density_g_cm3": 3.932,
  "formation_energy_uncorrected_ev_per_atom": -0.215,
  "e_above_lowest_polymorph_ev_per_atom": 0.000,
  "dos_ef_per_ev_cell": 1.647,
  "final_energy_ev_per_atom": -3.308
}

{
  "formula": "LiSmHfRe",
  "functional": "PBE-GGA",
  "state": "relaxed",
  "lattice": [[-2.356, -3.621, -2.126], [-0.389, -4.253, 2.223], [-4.262, -1.437, 1.719]],
  "species": ["Li", "Hf", "Sm", "Re"],
  "fractional_positions": [[0.500, 0.500, 0.500], [0.250, 0.250, 0.250], [0.750, 0.750, 0.750], [0.000, 0.000, 0.000]],
  "mass_density_g_cm3": 10.982,
  "dos_ef_per_ev_cell": 2.225,
  "formation_energy_ev_per_atom": 0.03,
  "final_energy_ev_per_atom": -7.226
}

{
  "formula": "Zr2In2Ag",
  "functional": "PBE-GGA",
  "state": "relaxed",
  "lattice": [[8.560, 0.000, 0.000], [0.000, 8.560, 0.000], [0.000, 0.000, 3.264]],
  "species": ["In", "In", "In", "In", "Zr", "Zr", "Zr", "Zr", "Ag", "Ag"],
  "fractional_positions": [[0.822, 0.322, 0.500], [0.678, 0.822, 0.500], [0.178, 0.678, 0.500], [0.322, 0.178, 0.500], [0.623, 0.123, 0.000], [0.877, 0.623, 0.000], [0.123, 0.377, 0.000], [0.377, 0.877, 0.000], [0.500, 0.500, 0.000], [0.000, 0.000, 0.000]],
  "mass_density_g_cm3": 7.221,
  "e_above_lowest_polymorph_ev_per_atom": 0.266,
  "dos_ef_per_ev_cell": 13.063,
  "formation_energy_ev_per_atom": 0.11,
  "final_energy_ev_per_atom": -4.974
}

{
  "formula": "Eu2N",
  "functional": "PBE-GGA",
  "state": "relaxed",
  "lattice": [[-2.706, -1.861, -5.311], [3.178, -5.369, 0.262], [-2.707, -1.509, 1.908]],
  "species": ["Eu", "Eu", "Eu", "Eu", "N", "N"],
  "fractional_positions": [[0.195, 0.805, 0.500], [0.305, 0.305, 0.000], [0.805, 0.195, 0.500], [0.695, 0.695, 0.000], [0.500, 0.500, 0.500], [0.000, 0.000, 0.000]],
  "mass_density_g_cm3": 7.441,
  "formation_energy_uncorrected_ev_per_atom": -0.658,
  "dos_ef_per_ev_cell": 9.315,
  "final_energy_ev_per_atom": -10.283
}

{
  "formula": "Co3SbRh",
  "functional": "PBE-GGA",
  "state": "relaxed",
  "lattice": [[-4.189, 1.382, 1.118], [-1.627, -1.828, -3.836], [-0.716, -3.931, 2.177]],
  "species": ["Sb", "Rh", "Co", "Co", "Co"],
  "fractional_positions": [[0.500, 0.500, 0.500], [0.000, 0.000, 0.000], [0.000, 0.500, 0.000], [0.500, 0.000, 0.000], [0.000, 0.000, 0.500]],
  "mass_density_g_cm3": 7.074,
  "formation_energy_uncorrected_ev_per_atom": 1.120,
  "e_above_lowest_polymorph_ev_per_atom": 0.000,
  "dos_ef_per_ev_cell": 5.487,
  "final_energy_ev_per_atom": -5.438
}

{
  "formula": "ZnCoRu2",
  "functional": "PBE-GGA",
  "state": "relaxed",
  "lattice": [[3.728, 0.000, 0.000], [0.000, 2.710, 0.018], [0.000, 2.673, 5.247]],
  "species": ["Zn", "Ru", "Ru", "Co"],
  "fractional_positions": [[0.000, 0.487, 0.513], [0.000, 0.995, 0.004], [0.500, 0.260, 0.239], [0.500, 0.757, 0.743]],
  "mass_density_g_cm3": 10.261,
  "dos_ef_per_ev_cell": 5.050,
  "formation_energy_ev_per_atom": 0.10,
  "final_energy_ev_per_atom": -6.631
}

{
  "formula": "V2Ru2Au",
  "functional": "PBE-GGA",
  "state": "relaxed",
  "lattice": [[7.199, 0.000, 0.000], [0.000, 7.199, 0.000], [0.000, 0.000, 2.873]],
  "species": ["Au", "Au", "V", "V", "V", "V", "Ru", "Ru", "Ru", "Ru"],
  "fractional_positions": [[0.500, 0.500, 0.000], [0.000, 0.000, 0.000], [0.343, 0.157, 0.500], [0.157, 0.657, 0.500], [0.657, 0.843, 0.500], [0.843, 0.343, 0.500], [0.862, 0.638, 0.000], [0.638, 0.138, 0.000], [0.138, 0.362, 0.000], [0.362, 0.862, 0.000]],
  "mass_density_g_cm3": 11.175,
  "e_above_lowest_polymorph_ev_per_atom": 0.000,
  "dos_ef_per_ev_cell": 7.818,
  "formation_energy_ev_per_atom": -0.08,
  "final_energy_ev_per_atom": -8.089
}

{
  "formula": "CrSnN2",
  "functional": "PBE-GGA",
  "state": "relaxed",
  "lattice": [[-0.903, -2.679, 0.676], [2.244, -2.129, 0.471], [-0.083, 0.844, 6.323]],
  "species": ["N", "N", "Cr", "Sn"],
  "fractional_positions": [[0.593, 0.590, 0.116], [0.411, 0.119, 0.793], [0.907, 0.017, 0.990], [0.482, 0.603, 0.516]],
  "mass_density_g_cm3": 6.370,
  "formation_energy_uncorrected_ev_per_atom": 0.138,
  "dos_ef_per_ev_cell": 1.490,
  "final_energy_ev_per_atom": -7.432
}

{
  "formula": "CeNd10Tm4",
  "functional": "PBE-GGA",
  "state": "relaxed",
  "lattice": [[9.761, 0.000, 4.408], [4.881, 6.954, 2.204], [2.019, 0.000, 8.542]],
  "species": ["Nd", "Nd", "Nd", "Nd", "Nd", "Nd", "Nd", "Nd", "Nd", "Nd", "Tm", "Tm", "Tm", "Tm", "Ce"],
  "fractional_positions": [[0.559, 0.901, 0.670], [0.229, 0.330, 0.901], [0.540, 0.330, 0.901], [0.750, 0.500, 0.500], [0.870, 0.901, 0.670], [0.460, 0.670, 0.099], [0.250, 0.500, 0.500], [0.130, 0.099, 0.330], [0.771, 0.670, 0.099], [0.441, 0.099, 0.330], [0.062, 0.604, 0.272], [0.666, 0.272, 0.396], [0.334, 0.728, 0.604], [0.938, 0.396, 0.728], [0.000, 0.000, 0.000]],
  "mass_density_g_cm3": 7.239,
  "dos_ef_per_ev_cell": 24.669,
  "formation_energy_ev_per_atom": 0.32,
  "final_energy_ev_per_atom": -4.442
}

{
  "formula": "ScZn2Cd2Au5",
  "functional": "PBE-GGA",
  "state": "relaxed",
  "lattice": [[4.133, 0.000, 0.000], [0.000, 9.567, 0.000], [0.000, 0.000, 9.567]],
  "species": ["Au", "Au", "Au", "Au", "Au", "Au", "Au", "Au", "Au", "Au", "Zn", "Zn", "Zn", "Zn", "Cd", "Cd", "Cd", "Cd", "Sc", "Sc"],
  "fractional_positions": [[0.500, 0.922, 0.199], [0.500, 0.500, 0.000], [0.500, 0.000, 0.500], [0.500, 0.699, 0.422], [0.500, 0.301, 0.578], [0.500, 0.422, 0.301], [0.500, 0.199, 0.078], [0.500, 0.578, 0.699], [0.500, 0.078, 0.801], [0.500, 0.801, 0.922], [0.000, 0.621, 0.879], [0.000, 0.121, 0.621], [0.000, 0.879, 0.379], [0.000, 0.379, 0.121], [0.000, 0.824, 0.676], [0.000, 0.176, 0.324], [0.000, 0.324, 0.824], [0.000, 0.676, 0.176], [0.000, 0.500, 0.500], [0.000, 0.000, 0.000]],
  "mass_density_g_cm3": 12.162,
  "dos_ef_per_ev_cell": 9.242,
  "formation_energy_ev_per_atom": -0.28,
  "final_energy_ev_per_atom": -2.987
}